# 1
Below is a relaxed structure of Sm2ZrCo9, with properties calculated at the PBE level.

Structure (POSCAR):
```
Sm2ZrCo9
1.0
4.695 0.000 1.397
2.140 4.179 1.397
-0.056 -0.034 8.774
Sm Co Zr
2 9 1
Direct
0.139 0.139 0.584
0.861 0.861 0.416
0.666 0.666 0.001
0.578 0.079 0.765
0.578 0.578 0.765
0.422 0.422 0.235
0.500 0.500 0.500
0.079 0.578 0.765
0.921 0.422 0.235
0.422 0.921 0.235
0.334 0.334 0.999
0.000 0.000 0.000
```

## Properties
* total energy: -6.937 eV per atom
* size of the total moment: 9.6 μB per formula unit
* calculated formation energy: -109 meV/atom
* space-group type: R-3m, No. 166



# 2
Below is a relaxed structure of Tb3Sm2TmSe6, with properties calculated at the PBE level.

Structure (POSCAR):
```
Tb3Sm2TmSe6
1.0
-0.900 -3.985 -0.240
2.412 -1.016 7.832
-8.248 3.908 0.915
Sm Tb Se Tm
2 3 6 1
Direct
0.831 0.663 0.662
0.169 0.337 0.338
0.500 0.500 0.000
0.829 0.167 0.658
0.171 0.833 0.342
0.998 0.243 0.995
0.336 0.413 0.672
0.002 0.757 0.005
0.664 0.587 0.328
0.663 0.076 0.325
0.337 0.924 0.675
0.500 0.000 0.000
```

## Properties
* total energy: -5.828 eV per atom
* size of the total moment: 0.0 μB per formula unit
* uncorrected formation energy: -1769 meV per atom
* space-group type: C2/m, No. 12